Ac5OsN8: optimized geometry, PBE.

Output
* magnetic moment: 0.010 μB/cell
* E_form (uncorrected): -589 meV per atom
* calculated total energy: -7.62 eV per atom
* volume: 20.48 Å³/atom
* ρ: 8.32 Mg/m³

Lattice parameters (Å, degrees): 7.4021 7.4021 7.4021 120.00 120.00 90.00
With the nearest neighbours (Å) after each atom.
Atoms (fractional coordinates):
Ac 0.0000 0.0000 0.0000  4 N 2.55
Ac 0.3709 0.1201 0.7442  3 N 2.44-2.45
Ac 0.3734 0.6291 0.7493  3 N 2.44-2.45
Ac 0.3759 0.6266 0.2558  3 N 2.44-2.45
Ac 0.8799 0.6241 0.2507  3 N 2.44-2.45
Os 0.7500 0.2500 0.5000  4 N 1.82
N 0.0511 0.3508 0.7011  1 Os 1.82
N 0.1392 0.8595 0.7176  4 Ac 2.44-2.55
N 0.1405 0.8581 0.2797  4 Ac 2.44-2.55
N 0.1419 0.4217 0.2824  4 Ac 2.44-2.55
N 0.5783 0.8608 0.7203  4 Ac 2.44-2.55
N 0.6492 0.3504 0.7003  1 Os 1.82
N 0.6496 0.3499 0.2989  1 Os 1.82
N 0.6501 0.9489 0.2997  1 Os 1.82